VASP calculation (PBE-GGA) on a geometry-optimized CaCuRu2 structure.

space-group type: Pmmm
excess energy over the best structure of this formula in the dataset: 243 meV/atom

a b c (Å): 2.6441 4.1373 6.1391
angles (deg): 90.00 90.00 90.00
Atoms (fractional coordinates):
Ca 0.5000 0.5000 0.2500
Ru 0.0000 0.0000 0.5545
Cu 0.5000 0.5000 0.7500
Ru 0.0000 0.0000 0.9455

VASP calculation (PBE-GGA) on a geometry-optimized Sc2W2Cl structure.

space-group type: I4/mmm
uncorrected formation energy: 0.012 eV per atom
excess energy over the best structure of this formula in the dataset: 0 meV/atom

a b c (Å): 8.7088 8.7088 8.7088
angles (deg): 155.62 155.62 34.75
Atoms (fractional coordinates):
W 0.7500 0.2500 0.5000
Cl 0.0000 0.0000 0.0000
Sc 0.3821 0.3821 0.0000
Sc 0.6179 0.6179 0.0000
W 0.2500 0.7500 0.5000

VASP calculation (PBE-GGA) on a geometry-optimized CaSiSb2 structure.

space-group type: P4mm
uncorrected formation energy: -0.103 eV per atom

a b c (Å): 4.0285 4.0285 6.4101
angles (deg): 90.00 90.00 90.00
Atoms (fractional coordinates):
Ca 0.5000 0.5000 0.7690
Si 0.0000 0.0000 0.4340
Sb 0.0000 0.0000 0.0054
Sb 0.5000 0.5000 0.2916